Entry 1:
A relaxed structure of AlCrCd2, computed with GGA-PBE. Values from VASP.

```
&SYSTEM
  ibrav = 0, nat = 4, ntyp = 3
/
ATOMIC_SPECIES
Al 26.98 Al.upf
Cr 52.00 Cr.upf
Cd 112.41 Cd.upf
CELL_PARAMETERS angstrom
0.0000 3.3368 3.3368
3.3368 0.0000 3.3368
3.3368 3.3368 0.0000
ATOMIC_POSITIONS crystal
Al 0.0000 0.0000 0.0000
Cr 0.2500 0.2500 0.2500
Cd 0.5000 0.5000 0.5000
Cd 0.7500 0.7500 0.7500
```

Energy of formation (eV per atom): 0.275
Total magnetization (μB/f.u.): 3.7

---

Entry 2:
A relaxed structure of AlCrCd2, computed with GGA-PBE. Values from VASP.

```
&SYSTEM
  ibrav = 0, nat = 4, ntyp = 3
/
ATOMIC_SPECIES
Al 26.98 Al.upf
Cr 52.00 Cr.upf
Cd 112.41 Cd.upf
CELL_PARAMETERS angstrom
4.8151 -1.5243 0.0000
4.8151 1.5243 0.0000
-1.0369 0.0000 5.1551
ATOMIC_POSITIONS crystal
Al 0.0000 0.0000 0.0000
Cr 0.7342 0.7342 0.2055
Cd 0.2492 0.2492 0.7280
Cd 0.4867 0.4867 0.4650
```

Energy of formation (eV per atom): 0.270
Total magnetization (μB/f.u.): 3.7

---

Entry 3:
A relaxed structure of AlCrCd2, computed with GGA-PBE. Values from VASP.

```
&SYSTEM
  ibrav = 0, nat = 4, ntyp = 3
/
ATOMIC_SPECIES
Al 26.98 Al.upf
Cr 52.00 Cr.upf
Cd 112.41 Cd.upf
CELL_PARAMETERS angstrom
4.1511 0.0000 0.0000
0.0000 4.1511 0.0000
0.0000 0.0000 4.2563
ATOMIC_POSITIONS crystal
Al 0.0000 0.0000 0.0000
Cr 0.5000 0.5000 0.0000
Cd 0.0000 0.5000 0.5000
Cd 0.5000 0.0000 0.5000
```

Energy of formation (eV per atom): 0.227
Total magnetization (μB/f.u.): 3.3

---

Entry 4:
A relaxed structure of AlCrCd2, computed with GGA-PBE. Values from VASP.

```
&SYSTEM
  ibrav = 0, nat = 4, ntyp = 3
/
ATOMIC_SPECIES
Al 26.98 Al.upf
Cr 52.00 Cr.upf
Cd 112.41 Cd.upf
CELL_PARAMETERS angstrom
3.0034 0.0000 0.0000
0.0000 5.0984 0.0000
-0.0646 0.0000 5.0166
ATOMIC_POSITIONS crystal
Al 0.0000 0.0000 0.0000
Cr 0.5000 0.0000 0.5000
Cd 0.2311 0.5000 0.7472
Cd 0.7689 0.5000 0.2528
```

Energy of formation (eV per atom): 0.297
Total magnetization (μB/f.u.): 3.7

---

Entry 5:
A relaxed structure of AlCrCd2, computed with GGA-PBE. Values from VASP.

```
&SYSTEM
  ibrav = 0, nat = 4, ntyp = 3
/
ATOMIC_SPECIES
Al 26.98 Al.upf
Cr 52.00 Cr.upf
Cd 112.41 Cd.upf
CELL_PARAMETERS angstrom
2.9137 -4.1570 0.0000
2.9137 4.1570 0.0000
0.0000 0.0000 3.1389
ATOMIC_POSITIONS crystal
Al 0.0000 0.0000 0.0000
Cr 0.5000 0.5000 0.0000
Cd 0.0000 0.5000 0.5000
Cd 0.5000 0.0000 0.5000
```

Energy of formation (eV per atom): 0.307
Total magnetization (μB/f.u.): 3.7

---

Entry 6:
A relaxed structure of Al2Cr2Cd, computed with GGA-PBE. Values from VASP.

```
&SYSTEM
  ibrav = 0, nat = 10, ntyp = 3
/
ATOMIC_SPECIES
Al 26.98 Al.upf
Cr 52.00 Cr.upf
Cd 112.41 Cd.upf
CELL_PARAMETERS angstrom
7.2933 0.0000 0.0000
0.0000 7.2933 0.0000
0.0000 0.0000 2.8842
ATOMIC_POSITIONS crystal
Al 0.1868 0.3132 0.0000
Al 0.3132 0.8132 0.0000
Al 0.6868 0.1868 0.0000
Al 0.8132 0.6868 0.0000
Cr 0.1023 0.6023 0.5000
Cr 0.3977 0.1023 0.5000
Cr 0.6023 0.8977 0.5000
Cr 0.8977 0.3977 0.5000
Cd 0.0000 0.0000 0.5000
Cd 0.5000 0.5000 0.5000
```

Energy of formation (eV per atom): 0.170
Relative energy among the computed polymorphs (eV per atom): 0.021
Total magnetization (μB/f.u.): 0.0

---

Entry 7:
A relaxed structure of AlCr4Cd, computed with GGA-PBE. Values from VASP.

```
&SYSTEM
  ibrav = 0, nat = 6, ntyp = 3
/
ATOMIC_SPECIES
Al 26.98 Al.upf
Cr 52.00 Cr.upf
Cd 112.41 Cd.upf
CELL_PARAMETERS angstrom
0.0000 3.4570 3.4570
3.4570 0.0000 3.4570
3.4570 3.4570 0.0000
ATOMIC_POSITIONS crystal
Al 0.0000 0.0000 0.0000
Cr 0.3755 0.3755 0.3755
Cr 0.3755 0.3755 0.8736
Cr 0.3755 0.8736 0.3755
Cr 0.8736 0.3755 0.3755
Cd 0.7500 0.7500 0.7500
```

Energy of formation (eV per atom): 0.349
Total magnetization (μB/f.u.): 0.0

---

Entry 8:
A relaxed structure of AlCrCd2, computed with GGA-PBE. Values from VASP.

```
&SYSTEM
  ibrav = 0, nat = 4, ntyp = 3
/
ATOMIC_SPECIES
Al 26.98 Al.upf
Cr 52.00 Cr.upf
Cd 112.41 Cd.upf
CELL_PARAMETERS angstrom
2.8984 -5.0720 0.0000
2.8984 5.0720 0.0000
-1.4609 0.0000 2.5915
ATOMIC_POSITIONS crystal
Al 0.0000 0.0000 0.0000
Cr 0.5000 0.5000 0.0000
Cd 0.0000 0.5000 0.5000
Cd 0.5000 0.0000 0.5000
```

Energy of formation (eV per atom): 0.313
Total magnetization (μB/f.u.): 3.6

---

Entry 9:
A relaxed structure of AlCrCd2, computed with GGA-PBE. Values from VASP.

```
&SYSTEM
  ibrav = 0, nat = 8, ntyp = 3
/
ATOMIC_SPECIES
Al 26.98 Al.upf
Cr 52.00 Cr.upf
Cd 112.41 Cd.upf
CELL_PARAMETERS angstrom
-3.7426 3.7426 2.7155
3.7426 -3.7426 2.7155
3.7426 3.7426 -2.7155
ATOMIC_POSITIONS crystal
Al 0.0000 0.0000 0.0000
Al 0.7500 0.2500 0.5000
Cr 0.2500 0.7500 0.5000
Cr 0.5000 0.5000 0.0000
Cd 0.1246 0.1250 0.4996
Cd 0.3750 0.8754 0.0004
Cd 0.6254 0.6250 0.5004
Cd 0.8750 0.3746 0.9996
```

Energy of formation (eV per atom): 0.749
Total magnetization (μB/f.u.): 0.0

---

Entry 10:
A relaxed structure of AlCrCd2, computed with GGA-PBE. Values from VASP.

```
&SYSTEM
  ibrav = 0, nat = 4, ntyp = 3
/
ATOMIC_SPECIES
Al 26.98 Al.upf
Cr 52.00 Cr.upf
Cd 112.41 Cd.upf
CELL_PARAMETERS angstrom
1.5376 0.8877 9.4867
-1.5376 0.8877 9.4867
0.0000 -1.7755 9.4867
ATOMIC_POSITIONS crystal
Al 0.0000 0.0000 0.0000
Cr 0.5000 0.5000 0.5000
Cd 0.2479 0.2479 0.2479
Cd 0.7521 0.7521 0.7521
```

Energy of formation (eV per atom): 0.345
Total magnetization (μB/f.u.): 3.8

---

Entry 11:
A relaxed structure of AlCrCd2, computed with GGA-PBE. Values from VASP.

```
&SYSTEM
  ibrav = 0, nat = 4, ntyp = 3
/
ATOMIC_SPECIES
Al 26.98 Al.upf
Cr 52.00 Cr.upf
Cd 112.41 Cd.upf
CELL_PARAMETERS angstrom
1.4755 0.8519 9.8143
-1.4755 0.8519 9.8143
0.0000 -1.7038 9.8143
ATOMIC_POSITIONS crystal
Al 0.0000 0.0000 0.0000
Cr 0.7330 0.7330 0.7330
Cd 0.2443 0.2443 0.2443
Cd 0.4803 0.4803 0.4803
```

Energy of formation (eV per atom): 0.271
Total magnetization (μB/f.u.): 2.5

---

Entry 12:
A relaxed structure of AlCrCd2, computed with GGA-PBE. Values from VASP.

```
&SYSTEM
  ibrav = 0, nat = 4, ntyp = 3
/
ATOMIC_SPECIES
Al 26.98 Al.upf
Cr 52.00 Cr.upf
Cd 112.41 Cd.upf
CELL_PARAMETERS angstrom
3.0190 0.0000 0.0000
0.0000 3.0190 0.0000
0.0000 0.0000 8.0967
ATOMIC_POSITIONS crystal
Al 0.0000 0.0000 0.0000
Cr 0.5000 0.5000 0.8175
Cd 0.0000 0.0000 0.5724
Cd 0.5000 0.5000 0.2756
```

Energy of formation (eV per atom): 0.180
Total magnetization (μB/f.u.): 2.9

---

Entry 13:
A relaxed structure of Al4CrCd, computed with GGA-PBE. Values from VASP.

```
&SYSTEM
  ibrav = 0, nat = 6, ntyp = 3
/
ATOMIC_SPECIES
Al 26.98 Al.upf
Cr 52.00 Cr.upf
Cd 112.41 Cd.upf
CELL_PARAMETERS angstrom
0.0000 3.7214 3.7214
3.7214 0.0000 3.7214
3.7214 3.7214 0.0000
ATOMIC_POSITIONS crystal
Al 0.3757 0.3757 0.3757
Al 0.3757 0.3757 0.8729
Al 0.3757 0.8729 0.3757
Al 0.8729 0.3757 0.3757
Cr 0.7500 0.7500 0.7500
Cd 0.0000 0.0000 0.0000
```

Energy of formation (eV per atom): 0.245
Total magnetization (μB/f.u.): 2.4

---

Entry 14:
A relaxed structure of AlCrCd2, computed with GGA-PBE. Values from VASP.

```
&SYSTEM
  ibrav = 0, nat = 4, ntyp = 3
/
ATOMIC_SPECIES
Al 26.98 Al.upf
Cr 52.00 Cr.upf
Cd 112.41 Cd.upf
CELL_PARAMETERS angstrom
-2.1219 2.1219 4.1411
2.1219 -2.1219 4.1411
2.1219 2.1219 -4.1411
ATOMIC_POSITIONS crystal
Al 0.0000 0.0000 0.0000
Cr 0.7500 0.2500 0.5000
Cd 0.2500 0.7500 0.5000
Cd 0.5000 0.5000 0.0000
```

Energy of formation (eV per atom): 0.246
Total magnetization (μB/f.u.): 3.7

---

Entry 15:
A relaxed structure of AlCrCd2, computed with GGA-PBE. Values from VASP.

```
&SYSTEM
  ibrav = 0, nat = 4, ntyp = 3
/
ATOMIC_SPECIES
Al 26.98 Al.upf
Cr 52.00 Cr.upf
Cd 112.41 Cd.upf
CELL_PARAMETERS angstrom
-2.0766 2.0766 4.2990
2.0766 -2.0766 4.2990
2.0766 2.0766 -4.2990
ATOMIC_POSITIONS crystal
Al 0.0000 0.0000 0.0000
Cr 0.5000 0.5000 0.0000
Cd 0.2500 0.7500 0.5000
Cd 0.7500 0.2500 0.5000
```

Energy of formation (eV per atom): 0.228
Total magnetization (μB/f.u.): 3.6

---

Entry 16:
A relaxed structure of HfAlCr2Cd, computed with GGA-PBE. Values from VASP.

```
&SYSTEM
  ibrav = 0, nat = 5, ntyp = 4
/
ATOMIC_SPECIES
Hf 178.49 Hf.upf
Al 26.98 Al.upf
Cr 52.00 Cr.upf
Cd 112.41 Cd.upf
CELL_PARAMETERS angstrom
4.5929 0.0000 0.0000
0.0000 4.5929 0.0000
0.0000 0.0000 5.0039
ATOMIC_POSITIONS crystal
Hf 0.0000 0.0000 0.0000
Al 0.0000 0.0000 0.5000
Cr 0.0000 0.5000 0.5000
Cr 0.5000 0.0000 0.5000
Cd 0.5000 0.5000 0.0000
```

Energy of formation (eV per atom): 1.006
Total magnetization (μB/f.u.): 5.1

---

Entry 17:
A relaxed structure of AlCrCd2Hg, computed with GGA-PBE. Values from VASP.

```
&SYSTEM
  ibrav = 0, nat = 5, ntyp = 4
/
ATOMIC_SPECIES
Al 26.98 Al.upf
Cr 52.00 Cr.upf
Cd 112.41 Cd.upf
Hg 200.59 Hg.upf
CELL_PARAMETERS angstrom
5.3424 0.0000 0.0000
0.0000 5.3424 0.0000
0.0000 0.0000 4.9810
ATOMIC_POSITIONS crystal
Al 0.0000 0.0000 0.0000
Cr 0.0000 0.0000 0.5000
Cd 0.0000 0.5000 0.5000
Cd 0.5000 0.0000 0.5000
Hg 0.5000 0.5000 0.0000
```

Energy of formation (eV per atom): 0.597
Total magnetization (μB/f.u.): 4.5

---

Entry 18:
A relaxed structure of AlCr2CdMo, computed with GGA-PBE. Values from VASP.

```
&SYSTEM
  ibrav = 0, nat = 5, ntyp = 4
/
ATOMIC_SPECIES
Al 26.98 Al.upf
Cr 52.00 Cr.upf
Cd 112.41 Cd.upf
Mo 95.94 Mo.upf
CELL_PARAMETERS angstrom
4.6444 0.0000 0.0000
0.0000 4.6444 0.0000
0.0000 0.0000 4.9432
ATOMIC_POSITIONS crystal
Al 0.0000 0.0000 0.0000
Cr 0.0000 0.5000 0.5000
Cr 0.5000 0.0000 0.5000
Cd 0.5000 0.5000 0.5000
Mo 0.5000 0.5000 0.0000
```

Energy of formation (eV per atom): 2.353
Total magnetization (μB/f.u.): 1.8